Entry 1:
An optimized crystal structure of NaBe4Te3O12. Source: the Alexandria database, functional PBE.

Unit cell a=6.509 b=6.509 c=6.509 alpha=103.86 beta=103.86 gamma=103.86
Fractional coordinates of all 20 atoms:
O 0.767 0.013 0.617
O 0.383 0.987 0.233
Te 0.000 0.546 0.454
O 0.901 0.500 0.099
O 0.500 0.099 0.901
Be 0.055 0.500 0.945
Be 0.500 0.500 0.500
Be 0.945 0.055 0.500
Na 0.000 0.000 0.000
Te 0.454 0.000 0.546
O 0.617 0.767 0.013
Be 0.500 0.945 0.055
O 0.987 0.233 0.383
O 0.233 0.383 0.987
O 0.652 0.500 0.348
O 0.099 0.901 0.500
O 0.013 0.617 0.767
O 0.348 0.652 0.500
O 0.500 0.348 0.652
Te 0.546 0.454 0.000

Computed properties:
The calculation puts the uncorrected formation energy at -1585 meV per atom. As for the space group: No. 155. The value obtained for the energy is -5.84 eV/atom. The value obtained for the calculated volume is 246.7 Å³ per cell.



Entry 2:
An optimized crystal structure of NaBeTeO5. Source: the Alexandria database, functional PBE.

Unit cell a=5.486 b=5.486 c=7.295 alpha=106.21 beta=106.21 gamma=105.10
Last column: magnetic moment on the atom in μB.
Fractional coordinates of all 16 atoms:
O 0.378 0.242 0.099  0.28
Be 0.303 0.697 0.750  -0.01
Be 0.697 0.303 0.250  -0.01
Te 0.000 0.000 0.000  -0.02
O 0.082 0.918 0.250  0.06
O 0.758 0.622 0.401  0.28
O 0.622 0.758 0.901  0.28
O 0.918 0.082 0.750  0.06
O 0.706 0.107 0.384  0.14
O 0.107 0.706 0.884  0.14
O 0.242 0.378 0.599  0.28
Na 0.663 0.337 0.750  0.00
Te 0.000 0.000 0.500  -0.02
O 0.893 0.294 0.116  0.14
Na 0.337 0.663 0.250  0.00
O 0.294 0.893 0.616  0.14

Computed properties:
The calculation puts the uncorrected formation energy at -1398 meV per atom. As for the space group: No. 15. The value obtained for the energy is -5.52 eV/atom. The value obtained for the calculated volume is 188.3 Å³ per cell.



Entry 3:
An optimized crystal structure of NaBeTeO4. Source: the Alexandria database, functional PBE.

Unit cell a=5.207 b=5.207 c=5.266 alpha=119.63 beta=119.63 gamma=90.00
Last column: magnetic moment on the atom in μB.
Fractional coordinates of all 7 atoms:
Na 0.000 0.000 0.000  0.00
O 0.209 0.086 0.729  0.14
Be 0.250 0.750 0.500  0.01
O 0.520 0.643 0.729  0.14
Te 0.500 0.500 0.000  0.11
O 0.914 0.480 0.271  0.14
O 0.357 0.791 0.271  0.14

Computed properties:
The calculation puts the uncorrected formation energy at -1524 meV per atom. As for the space group: No. 82. The value obtained for the energy is -5.53 eV/atom. The value obtained for the calculated volume is 102.1 Å³ per cell.



Entry 4:
An optimized crystal structure of Na2BeTlO4. Source: the Alexandria database, functional PBE.

Unit cell a=5.566 b=5.034 c=5.034 alpha=72.20 beta=56.44 gamma=56.44
Last column: magnetic moment on the atom in μB.
Fractional coordinates of all 8 atoms:
Na 0.500 0.500 0.500  0.00
O 0.527 0.000 0.314  0.22
Be 0.500 0.000 0.000  -0.01
O 0.159 0.314 0.000  0.22
Tl 0.000 0.000 0.000  -0.01
O 0.473 0.686 0.000  0.22
Na 0.000 0.500 0.500  0.00
O 0.841 0.000 0.686  0.22

Computed properties:
The calculation puts the uncorrected formation energy at -1190 meV per atom. As for the space group: No. 121. The value obtained for the energy is -4.76 eV/atom. The value obtained for the calculated volume is 97.9 Å³ per cell.



Entry 5:
An optimized crystal structure of Na2Be2TlO4. Source: the Alexandria database, functional PBE.

Unit cell a=3.020 b=7.012 c=7.388 alpha=129.88 beta=90.00 gamma=102.44
Fractional coordinates of all 9 atoms:
O 0.235 0.470 0.120
O 0.765 0.530 0.880
Tl 0.000 0.000 0.000
Be 0.673 0.347 0.957
Na 0.882 0.763 0.446
Be 0.327 0.653 0.043
O 0.481 0.962 0.242
Na 0.118 0.237 0.554
O 0.519 0.038 0.758

Computed properties:
The calculation puts the uncorrected formation energy at -1643 meV per atom. As for the space group: No. 12. The value obtained for the energy is -5.23 eV/atom. The value obtained for the calculated volume is 115.2 Å³ per cell.



Entry 6:
An optimized crystal structure of NaTmBeO3. Source: the Alexandria database, functional PBE.

Unit cell a=3.257 b=6.792 c=7.319 alpha=101.61 beta=90.00 gamma=90.00
Fractional coordinates of all 12 atoms:
O 0.250 0.117 0.822
Tm 0.250 0.652 0.171
O 0.750 0.150 0.536
Na 0.750 0.836 0.823
O 0.250 0.572 0.860
Be 0.750 0.936 0.399
O 0.750 0.883 0.178
O 0.750 0.428 0.140
O 0.250 0.850 0.464
Na 0.250 0.164 0.177
Tm 0.750 0.348 0.829
Be 0.250 0.064 0.601

Computed properties:
The calculation puts the uncorrected formation energy at -2702 meV per atom. As for the space group: No. 11. The value obtained for the energy is -6.77 eV/atom. The value obtained for the calculated volume is 158.6 Å³ per cell.